(1)
{
  "formula": "Cs2SrBeSb",
  "functional": "PBE",
  "state": "optimized geometry",
  "lattice": [[7.552, 0.000, 0.000], [0.000, 7.552, 0.000], [0.000, 0.000, 6.310]],
  "species": ["Cs", "Cs", "Sr", "Be", "Sb"],
  "fractional_positions": [[0.000, 0.500, 0.000], [0.500, 0.000, 0.000], [0.000, 0.000, 0.500], [0.500, 0.500, 0.500], [0.000, 0.000, 0.000]],
  "spacegroup": "P4/mmm",
  "raw_formation_energy_ev_per_atom": 0.4027,
  "dos_ef_per_ev_cell": 5.8
}

(2)
{
  "formula": "Ti2GeW2",
  "functional": "PBE",
  "state": "optimized geometry",
  "lattice": [[-1.825, 1.825, 6.796], [1.825, -1.825, 6.796], [1.825, 1.825, -6.796]],
  "species": ["Ti", "Ti", "Ge", "W", "W"],
  "fractional_positions": [[0.092, 0.092, 0.000], [0.908, 0.908, 0.000], [0.500, 0.500, 0.000], [0.250, 0.750, 0.500], [0.750, 0.250, 0.500]],
  "spacegroup": "I4/mmm",
  "ef_ev_per_atom": 0.49,
  "dos_ef_per_ev_cell": 6.1
}